A relaxed La2NbAlBi crystal. Source: Alexandria, functional GGA-PBE.

abc: 6.0615 6.0615 5.2593
angles: 90.00 90.00 90.00
Space group P4/mmm (No. 123)
Unique sites:
La 0.0000 0.5000 0.0000
Nb 0.0000 0.0000 0.5000
Al 0.5000 0.5000 0.5000
Bi 0.0000 0.0000 0.0000

---

A relaxed La2NbAlBi crystal. Source: Alexandria, functional GGA-PBE.

abc: 5.7140 5.7140 4.9529
angles: 90.00 90.00 90.00
Space group P4/mmm (No. 123)
Unique sites:
La 0.0000 0.5000 0.0000
Nb 0.0000 0.0000 0.5000
Al 0.0000 0.0000 0.0000
Bi 0.5000 0.5000 0.5000

---

Number 1: ΔE_f 347 kJ/mol of formula units, total magnetization 1.45 μB per cell, excess energy over the best structure of this formula in the dataset 495.6 meV/atom. Number 2: ΔE_f 108 kJ/mol of formula units, total magnetization 1.91 μB per cell, excess energy over the best structure of this formula in the dataset 0.0 meV/atom.